[1]
TlHg3 | GGA-PBEsol | optimized geometry

Values from the calculation:
The total energy comes out at -1.1105 eV per atom. Its space group is Pm-3m (221). As for the total magnetic moment: 0.000 μB/atom.

Unit cell a=4.647 b=4.647 c=4.647 alpha=90.00 beta=90.00 gamma=90.00
Fractional coordinates of all 4 atoms:
Hg: 0.500 0.500 0.000
Hg: 0.500 0.000 0.500
Hg: 0.000 0.500 0.500
Tl: 0.000 0.000 0.000

***

[2]
Sc2TlTe | GGA-PBEsol | optimized geometry

Values from the calculation:
The total energy comes out at -5.0651 eV per atom. The value obtained for the uncorrected formation energy is -0.223 eV per atom. Its space group is R3m (160). The energy above the most stable polymorph in this dataset is 189 kJ/mol of formula units. As for the total magnetic moment: 0.210 μB/atom.

Unit cell a=3.465 b=3.465 c=9.911 alpha=79.93 beta=79.93 gamma=60.00
Each line ends with the local moment (μB).
Fractional coordinates of all 4 atoms:
Te: 0.493 0.493 0.521  0.01
Sc: 0.754 0.754 0.739  0.24
Sc: 0.001 0.001 0.996  0.24
Tl: 0.252 0.252 0.243  -0.01